A plane-wave DFT calculation with PBE was carried out for a geometry-optimized RbAg2I structure.

Cell: 9.3909 9.3909 7.4138 Å, 50.70 50.70 90.00°
Element x y z (fractional)
Rb (0.2500, 0.7500, 0.5000)
Rb (0.5000, 0.5000, 0.0000)
Ag (0.8750, 0.9280, 0.7500)
Ag (0.6780, 0.1250, 0.2500)
Ag (0.0720, 0.6250, 0.2500)
Ag (0.3750, 0.3220, 0.7500)
I (0.7500, 0.2500, 0.5000)
I (0.0000, 0.0000, 0.0000)

Properties
- magnetic moment (μB per atom) = 0.000
- formation energy (no corrections) (eV per atom) = 0.051
- E (eV per atom) = -2.00
- space group = I-42d